Compound: NaCo2AgF8
Source: Alexandria via LeMat-Bulk
Functional: GGA+U
Structure: optimized geometry

Computed properties:
D(E_F): 10.0 states/eV/cell
total DFT energy (no corrections): -51.1 eV for the cell shown

```
NaCo2AgF8
1.0
5.9851 0.0000 0.0000
-2.9926 5.1832 0.0000
0.0000 0.0000 6.5984
Na Co Ag F
1 2 1 8
Direct
0.0000 0.0000 0.0000 Na
0.6667 0.3333 0.3172 Co
0.3333 0.6667 0.6828 Co
0.0000 0.0000 0.5000 Ag
0.1624 0.8363 0.7614 F
0.1637 0.3262 0.7614 F
0.6738 0.8376 0.7614 F
0.8376 0.1637 0.2386 F
0.8363 0.6738 0.2386 F
0.3262 0.1624 0.2386 F
0.6667 0.3333 0.5911 F
0.3333 0.6667 0.4089 F
```